#A
Below is a crystal of Li2V2P3O12 relaxed with PBEsol, with properties calculated at the SCAN level.

a b c (Å): 14.672 8.641 8.535
angles (deg): 90.00 125.58 90.00
Space group C2/c (No. 15)
Asymmetric unit:
Li: 0.234 0.064 0.433
V: 0.115 0.253 0.079
P: 0.000 0.030 0.250
P: 0.144 0.398 0.754
O: 0.029 0.338 0.592
O: 0.077 0.133 0.226
O: 0.084 0.070 0.926
O: 0.156 0.424 0.258
O: 0.173 0.365 0.957
O: 0.231 0.326 0.729

---

#B
Below is a crystal of Li2V2P3O12 relaxed with PBEsol, with properties calculated at the SCAN level.

a b c (Å): 11.941 8.526 8.593
angles (deg): 90.00 90.00 90.00
Space group Pbcn (No. 60)
Asymmetric unit:
Li: 0.185 0.217 0.222
V: 0.114 0.253 0.534
P: 0.000 0.463 0.250
P: 0.145 0.105 0.894
O: 0.028 0.158 0.944
O: 0.069 0.437 0.637
O: 0.083 0.355 0.336
O: 0.156 0.076 0.396
O: 0.174 0.163 0.729
O: 0.229 0.174 0.013

---

Computed relative energies in units of meV per atom: #A 22; #B 0